Entry 1:
# Ba2Tl

A crystal of Ba2Tl relaxed with PBEsol (meta-GGA SCAN, Alexandria via LeMat-Bulk).

Cell: 7.0906 7.0906 7.0907 Å, 107.83 107.83 112.80°
Atoms (fractional coordinates):
Tl  0.7500  0.7500  0.0000
Tl  0.2500  0.2500  0.0000
Ba  0.8091  0.6909  0.5000
Ba  0.1909  0.3091  0.5000
Ba  0.6909  0.1909  0.8819
Ba  0.3091  0.8091  0.1181

Calculated values
Space-group type: No. 140

Entry 2:
# Ba3Tl2

A crystal of Ba3Tl2 relaxed with PBEsol (meta-GGA SCAN, Alexandria via LeMat-Bulk).

Cell: 5.8604 5.8604 7.2602 Å, 90.00 90.00 120.00°
Atoms (fractional coordinates):
Tl  0.6667  0.3333  0.1456
Tl  0.3333  0.6667  0.8544
Ba  0.6667  0.3333  0.6612
Ba  0.0000  0.0000  0.0000
Ba  0.3333  0.6667  0.3388

Calculated values
Space-group type: No. 164

Entry 3:
# Ba5Tl

A crystal of Ba5Tl relaxed with PBEsol (meta-GGA SCAN, Alexandria via LeMat-Bulk).

Cell: 4.3346 7.7076 10.3505 Å, 68.10 77.91 73.67°
Atoms (fractional coordinates):
Ba  0.8388  0.5446  0.7778
Ba  0.1320  0.1053  0.6307
Ba  0.8680  0.8947  0.3693
Ba  0.5000  0.0000  0.0000
Ba  0.1612  0.4554  0.2222
Tl  0.5000  0.5000  0.5000

Calculated values
Space-group type: No. 12

Entry 4:
# BaTl2

A crystal of BaTl2 relaxed with PBEsol (meta-GGA SCAN, Alexandria via LeMat-Bulk).

Cell: 4.9761 5.3339 7.6720 Å, 90.00 108.92 90.00°
Atoms (fractional coordinates):
Tl  0.3910  0.2500  0.7820
Tl  0.7523  0.2500  0.5047
Tl  0.2477  0.7500  0.4953
Tl  0.6090  0.7500  0.2180
Ba  0.9095  0.7500  0.8189
Ba  0.0905  0.2500  0.1811

Calculated values
Space-group type: No. 63

Entry 5:
# BaTl

A crystal of BaTl relaxed with PBEsol (meta-GGA SCAN, Alexandria via LeMat-Bulk).

Cell: 4.1470 5.7973 6.9596 Å, 114.60 107.33 90.00°
Atoms (fractional coordinates):
Tl  0.3432  0.0934  0.6863
Tl  0.6568  0.9066  0.3137
Ba  0.9010  0.6511  0.8020
Ba  0.0990  0.3489  0.1980

Calculated values
Space-group type: No. 74

Entry 6:
# Ba2Tl

A crystal of Ba2Tl relaxed with PBEsol (meta-GGA SCAN, Alexandria via LeMat-Bulk).

Cell: 4.3901 7.9343 8.7024 Å, 75.21 75.39 73.94°
Atoms (fractional coordinates):
Ba  0.4123  0.2936  0.8817
Ba  0.5877  0.7064  0.1183
Ba  0.8330  0.7578  0.5762
Ba  0.1670  0.2422  0.4238
Tl  0.8776  0.0675  0.1773
Tl  0.1224  0.9325  0.8227

Calculated values
Space-group type: No. 12

Entry 7:
# BaTl2

A crystal of BaTl2 relaxed with PBEsol (meta-GGA SCAN, Alexandria via LeMat-Bulk).

Cell: 4.6617 7.1086 7.5285 Å, 118.13 108.04 90.00°
Atoms (fractional coordinates):
Tl  0.6242  0.1231  0.2484
Tl  0.0005  0.2327  0.0010
Tl  0.9995  0.7673  0.9990
Tl  0.3758  0.8769  0.7516
Ba  0.3294  0.3300  0.6588
Ba  0.6706  0.6700  0.3412

Calculated values
Space-group type: No. 12

Entry 8:
# BaTl2

A crystal of BaTl2 relaxed with PBEsol (meta-GGA SCAN, Alexandria via LeMat-Bulk).

Cell: 5.5027 5.5027 5.5027 Å, 60.00 60.00 60.00°
Atoms (fractional coordinates):
Ba  0.0000  0.0000  0.0000
Tl  0.7500  0.7500  0.7500
Tl  0.2500  0.2500  0.2500

Calculated values
Space-group type: No. 225

no.,formation energy (eV/f.u.)
1,-1.264
2,-2.378
3,-1.198
4,-1.407
5,-1.005
6,-1.192
7,-1.466
8,-0.254